6
Lattice="4.031 -0.475 -0.003 0.498 4.229 -0.374 -0.066 -0.593 6.324" Properties=species:S:1:pos:R:3 comment="TePdRh PBE-GGA optimized geometry" e_form_raw_kcal_per_mol_atoms=-6.31 sg="No. 11" pbc="T T T"
Pd 2.216 2.124 1.136
Pd 4.365 3.016 3.095
Rh 1.879 -0.744 5.584
Rh 4.136 1.062 5.345
Te 3.963 -0.380 0.905
Te 2.118 1.290 3.700

10
Lattice="-7.492 0.945 0.236 -0.357 -4.366 6.156 0.348 2.337 1.678" Properties=species:S:1:pos:R:3 comment="Sc2TiFe2 PBE-GGA optimized geometry" sg="No. 127" relative_energy_ev_per_fu=1.68 ef_kj_per_mol_fu=117 pbc="T T T"
Fe -6.122 0.530 3.033
Sc -6.716 -1.948 4.105
Ti 0.000 0.000 0.000
Sc -4.795 0.015 0.972
Fe -2.323 0.711 1.993
Sc -1.132 -1.473 2.286
Sc -3.054 -3.436 5.419
Ti -3.924 -1.710 3.196
Fe -1.379 -1.613 5.036
Fe -5.178 -1.795 6.076

8
Lattice="-3.776 -4.270 3.511 1.724 -4.259 -5.034 4.447 1.527 4.934" Properties=species:S:1:pos:R:3 comment="NbPbCl6 PBE-GGA optimized geometry" e_form_raw_kcal_per_mol_atoms=-26.70 sg="No. 12" relative_energy_ev_per_fu=0.04 pbc="T T T"
Nb 1.198 -3.501 1.705
Cl 1.161 -1.150 2.392
Cl -1.084 -3.755 2.476
Cl 0.371 -2.830 -0.500
Cl 2.025 -4.173 3.911
Pb 0.000 0.000 0.000
Cl 3.479 -3.247 0.934
Cl 1.234 -5.852 1.018

10
Lattice="5.559 0.000 0.000 2.780 4.814 0.000 2.780 1.605 4.922" Properties=species:S:1:pos:R:3 comment="PuMg2BiO6 PBE-GGA optimized geometry" e_form_raw_kcal_per_mol_atoms=-53.18 sg="No. 146" pbc="T T T"
O 3.988 2.986 3.734
Mg 2.780 1.605 4.673
O 4.754 1.515 1.206
Bi 8.339 4.815 2.855
O 7.430 3.359 1.206
O 6.151 4.683 3.734
O 6.540 1.961 3.734
Mg 5.559 3.210 2.093
Pu 2.780 1.605 0.249
O 4.495 4.755 1.206

3
Lattice="-4.244 2.561 1.418 -3.505 1.339 -3.536 -4.586 -2.353 -0.103" Properties=species:S:1:pos:R:3 comment="LaTlMo PBE-GGA optimized geometry" sg="No. 216" relative_energy_ev_per_fu=2.14 ef_kj_per_mol_fu=337 pbc="T T T"
Mo 0.000 0.000 0.000
Tl -6.167 0.774 -1.110
La -9.251 1.160 -1.666

6
Lattice="-0.727 -4.085 0.381 3.135 1.344 -2.393 4.202 -0.247 5.367" Properties=species:S:1:pos:R:3 comment="SmMgNi2Ge2 PBE-GGA optimized geometry" sg="No. 164" ef_kj_per_mol_fu=-346 pbc="T T T"
Mg 2.101 -0.123 2.683
Ge 3.034 -0.535 0.047
Ni 4.658 -0.631 2.121
Ni 1.953 -2.357 1.234
Ge 3.577 -2.452 3.308
Sm 0.000 0.000 0.000

3
Lattice="-1.918 -3.587 1.589 1.028 -3.924 -1.618 2.302 -2.821 2.411" Properties=species:S:1:pos:R:3 comment="AgMoW PBE-GGA optimized geometry" sg="No. 216" relative_energy_ev_per_fu=2.72 ef_kj_per_mol_fu=377 pbc="T T T"
Ag 0.000 0.000 0.000
W 0.353 -2.583 0.596
Mo 0.706 -5.166 1.191

4
Lattice="-3.372 -4.719 3.474 0.382 -5.870 3.332 -0.741 -3.150 5.936" Properties=species:S:1:pos:R:3 comment="MgBeS2 PBE-GGA optimized geometry" e_form_raw_kcal_per_mol_atoms=-21.21 sg="No. 166" relative_energy_ev_per_fu=1.04 pbc="T T T"
Be 0.000 0.000 0.000
Mg -1.866 -6.870 6.372
S -0.367 -1.350 1.252
S -3.365 -12.390 11.491

6
Lattice="-3.372 -1.869 -0.534 1.293 -1.167 -4.079 4.296 -4.452 2.635" Properties=species:S:1:pos:R:3 comment="HoCuPt PBE-GGA optimized geometry" sg="No. 63" relative_energy_ev_per_fu=0.72 ef_kj_per_mol_fu=-177 pbc="T T T"
Ho 0.726 -5.536 0.608
Cu -0.898 -2.186 -0.865
Cu 3.116 -5.302 -1.113
Ho 1.492 -1.952 -2.586
Pt 0.642 -4.611 -2.095
Pt 1.575 -2.877 0.116

5
Lattice="-3.227 -0.064 -5.050 -3.008 -4.625 1.980 -4.006 3.681 2.513" Properties=species:S:1:pos:R:3 comment="K2LaYBe PBE-GGA optimized geometry" sg="No. 123" ef_kj_per_mol_fu=444 pbc="T T T"
Be 0.000 0.000 0.000
Y -5.120 -0.504 -0.278
La -1.504 -2.312 0.990
K -1.613 -0.032 -2.525
K -2.003 1.841 1.257

Fermi-level density of states
In order: 2.25 4.70 5.40 9.17 2.93 3.04 3.69 0.00 1.00 6.54
Unit: states/eV/f.u.
Energy
In order: -33.01 -72.54 -34.12 -74.21 -14.63 -30.70 -22.73 -17.26 -33.10 -12.71
Unit: eV/cell
Total moment
In order: 0.00 1.96 1.00 3.00 3.68 0.00 0.00 0.00 0.00 1.00
Unit: μB per formula unit